# Th2NiC2 (PBE-GGA, relaxed)
# E: -8.128 eV/atom
# calculated volume: 17.5 A^3/atom
# SG: I4/mmm, No. 139
data_Th2NiC2
_chemical_formula_sum 'Th2 Ni1 C2'
_cell_length_a 6.716
_cell_length_b 6.716
_cell_length_c 6.716
_cell_angle_alpha 147.44
_cell_angle_beta 147.44
_cell_angle_gamma 46.72
_symmetry_space_group_name_H-M 'P 1'
_symmetry_Int_Tables_number 1
_symmetry_space_group_name_Hall 'P 1'
loop_
_atom_site_label
_atom_site_fract_x
_atom_site_fract_y
_atom_site_fract_z
Th1 0.146 0.146 0.000
Th2 0.854 0.854 0.000
Ni1 0.500 0.500 0.000
C1 0.344 0.344 0.000
C2 0.656 0.656 0.000